{"formula": "CeSc2WO8", "functional": "PBE with a Hubbard U", "state": "optimized geometry", "lattice": [[3.4013, -3.4496, 0.0000], [3.4013, 3.4496, 0.0000], [0.0000, 0.0000, 6.6645]], "species": ["Ce", "Sc", "Sc", "W", "O", "O", "O", "O", "O", "O", "O", "O"], "frac_coords": [[0.0000, 0.0000, 0.0000], [0.5000, 0.5000, 0.2557], [0.5000, 0.5000, 0.7443], [0.0000, 0.0000, 0.5000], [0.1921, 0.8079, 0.2849], [0.1921, 0.8079, 0.7151], [0.2888, 0.2888, 0.5000], [0.3140, 0.3140, 0.0000], [0.6860, 0.6860, 0.0000], [0.7112, 0.7112, 0.5000], [0.8079, 0.1921, 0.2849], [0.8079, 0.1921, 0.7151]], "mass_density_g_cm3": 5.75, "dft_energy_ev_per_cell": -101.27}